A plane-wave DFT calculation with PBE-GGA was carried out for a relaxed structure of TmGaBi.

Results
Total DFT energy (no corrections) (eV/atom): -4.131
Fermi-level density of states (states/eV/f.u.): 1.2
DFT formation energy (meV per atom): -338
Total magnetization (μB per formula unit): 0.000
Energy above the lowest structure with this stoichiometry (meV per atom): 0

Cell and atoms, written as POSCAR:
```
TmGaBi
1.0
-3.2484 -0.7789 2.5180
-1.2307 -3.0857 -2.5422
8.0467 -4.8321 5.4114
Ga Tm Bi
2 2 2
Cartesian
0.9303 -5.6246 2.9351
2.6373 -3.0720 2.4521
4.2169 -4.9120 3.9208
-0.6494 -3.7846 1.4664
2.5250 -7.4823 4.4179
1.0425 -1.2144 0.9693
```